Record 1
## Li2AlCd2 (PBE)

Data for a relaxed structure of Li2AlCd2.

Cell: 4.690 4.623 12.172 Å, 54.09 78.89 59.52°
Sites, in units of the cell vectors:
Li (0.350, 0.250, 0.550)
Li (0.150, 0.250, 0.950)
Li (0.650, 0.750, 0.450)
Li (0.850, 0.750, 0.050)
Al (0.250, 0.750, 0.250)
Al (0.750, 0.250, 0.750)
Cd (0.452, 0.745, 0.852)
Cd (0.952, 0.245, 0.352)
Cd (0.548, 0.255, 0.148)
Cd (0.048, 0.755, 0.648)

Summary:
symmetry: C2/m



Record 2
## HgGeBi (PBE)

Data for a relaxed structure of HgGeBi.

Cell: 4.854 3.863 9.078 Å, 90.00 92.84 90.00°
Sites, in units of the cell vectors:
Hg (0.157, 0.250, 0.403)
Hg (0.843, 0.750, 0.597)
Ge (0.829, 0.250, 0.022)
Ge (0.171, 0.750, 0.978)
Bi (0.443, 0.250, 0.777)
Bi (0.557, 0.750, 0.223)

Summary:
symmetry: P2_1/m



Record 3
## UMnNi (PBE)

Data for a relaxed structure of UMnNi.

Cell: 2.853 2.853 5.971 Å, 103.82 103.82 90.00°
Last column: magnetic moment on the atom in μB.
Sites, in units of the cell vectors:
Ni (0.016, 0.016, 0.033)  0.46
Mn (0.649, 0.649, 0.298)  2.90
U (0.335, 0.335, 0.669)  -1.24

Summary:
symmetry: I4mm



Record 4
## YInBr2 (PBE)

Data for a relaxed structure of YInBr2.

Cell: 7.757 7.757 7.757 Å, 152.67 136.59 52.06°
Sites, in units of the cell vectors:
Y (0.750, 0.250, 0.500)
Br (0.908, 0.908, 0.000)
Br (0.592, 0.592, 0.000)
In (0.250, 0.750, 0.500)

Summary:
symmetry: Immm
raw formation energy: -1.00 eV/atom



no.,total energy (eV/atom)
1,-2.057
2,-2.806
3,-8.677
4,-4.139